DFT (GGA-PBE) results for La7Ni2Sn2 after structural relaxation.

Energy relative to the elements: -0.3375 eV/atom
Total moment: 0.0 μB per formula unit

a = 8.2633 Å, b = 11.8000 Å, c = 7.0817 Å
α = 90.00°, β = 90.00°, γ = 90.00°
Space group Cmmm (No. 65)
Unique sites:
La 0.0000 0.0000 0.0000 [2 per cell]
La 0.0000 0.5000 0.2211 [4 per cell]
La 0.2500 0.2500 0.2562 [8 per cell]
Ni 0.0000 0.2781 0.0000 [4 per cell]
Sn 0.1754 0.0000 0.5000 [4 per cell]


DFT (GGA-PBE) results for Ba2YW after structural relaxation.

Energy relative to the elements: 1.2124 eV/atom
Total moment: 0.0 μB per formula unit

a = 3.4864 Å, b = 3.4864 Å, c = 37.3394 Å
α = 90.00°, β = 90.00°, γ = 120.00°
Space group R-3m (No. 166, hexagonal axes)
Unique sites:
Ba 0.0000 0.0000 0.2378 [6 per cell]
Y 0.0000 0.0000 0.0000 [3 per cell]
W 0.0000 0.0000 0.5000 [3 per cell]


DFT (GGA-PBE) results for TiOF2 after structural relaxation.

Total moment: 0.4 μB per formula unit
Energy relative to the elements, uncorrected: -1195 meV per atom

a = 2.7663 Å, b = 2.7663 Å, c = 24.6610 Å
α = 90.00°, β = 90.00°, γ = 120.00°
Space group R-3m (No. 166, hexagonal axes)
Unique sites:
Ti 0.0000 0.0000 0.0000 [3 per cell]
O 0.0000 0.0000 0.5000 [3 per cell]
F 0.0000 0.0000 0.3874 [6 per cell]


DFT (GGA-PBE) results for TlCr3Te after structural relaxation.

Total moment: 13.1 μB per formula unit
Energy relative to the elements, uncorrected: 1004 meV per atom

a = 5.2093 Å, b = 5.2093 Å, c = 5.2093 Å
α = 90.00°, β = 90.00°, γ = 90.00°
Space group Pm-3m (No. 221)
Unique sites:
Tl 0.0000 0.0000 0.0000 [1 per cell]
Cr 0.0000 0.5000 0.5000 [3 per cell]
Te 0.5000 0.5000 0.5000 [1 per cell]


DFT (GGA-PBE) results for HfNp3S4 after structural relaxation.

Total moment: 12.2 μB per formula unit
Energy relative to the elements, uncorrected: -1353 meV per atom

a = 6.6101 Å, b = 7.6130 Å, c = 6.6619 Å
α = 90.00°, β = 109.29°, γ = 90.00°
Space group P2/c (No. 13)
Unique sites:
Hf 0.0000 0.1282 0.2500 [2 per cell]
Np 0.0000 0.3727 0.7500 [2 per cell]
Np 0.5000 0.1243 0.7500 [2 per cell]
Np 0.5000 0.3708 0.2500 [2 per cell]
S 0.2373 0.1175 0.9986 [4 per cell]
S 0.2455 0.3715 0.4955 [4 per cell]


DFT (GGA-PBE) results for NaAu2I3 after structural relaxation.

Total moment: 0.0 μB per formula unit
Energy relative to the elements, uncorrected: -353 meV per atom

a = 8.1152 Å, b = 4.4576 Å, c = 12.3620 Å
α = 90.00°, β = 105.89°, γ = 90.00°
Space group P2_1/m (No. 11)
Unique sites:
Na 0.2305 0.2500 0.3054 [2 per cell]
Au 0.0331 0.7500 0.0776 [2 per cell]
Au 0.4820 0.2500 0.5717 [2 per cell]
I 0.1339 0.7500 0.8565 [2 per cell]
I 0.2222 0.7500 0.5142 [2 per cell]
I 0.4059 0.7500 0.1938 [2 per cell]